# 1
Entry from Alexandria: a geometry-optimized Th2HgH structure (GGA-PBE).

Cell lengths 3.532, 3.532, 8.731 Å; angles 101.55, 101.55, 59.93 degrees
Fractional coordinates of all 4 atoms:
Th (0.000, 0.000, 0.000)
Th (0.208, 0.208, 0.627)
Hg (0.772, 0.772, 0.315)
H (0.605, 0.605, 0.817)

Its space group is Cm. For the polymorph energy (0 for the lowest one), the calculation gives 1.59 kcal/mol of atoms. As for the crystal system: monoclinic.

=====

# 2
Entry from Alexandria: a geometry-optimized PrNdInRu structure (GGA-PBE).

Cell lengths 5.252, 5.252, 5.252 Å; angles 60.00, 60.00, 60.00 degrees
Fractional coordinates of all 4 atoms:
Pr (0.000, 0.000, 0.000)
Nd (0.500, 0.500, 0.500)
In (0.750, 0.750, 0.750)
Ru (0.250, 0.250, 0.250)

Its space group is F-43m. For the polymorph energy (0 for the lowest one), the calculation gives 2.32 kcal/mol of atoms. As for the crystal system: cubic. The calculation puts the formation energy from the elements at -186 meV per atom.

=====

# 3
Entry from Alexandria: a geometry-optimized Sr2Al structure (GGA-PBE).

Cell lengths 5.653, 5.653, 5.653 Å; angles 60.00, 60.00, 60.00 degrees
Fractional coordinates of all 3 atoms:
Sr (0.250, 0.250, 0.250)
Sr (0.750, 0.750, 0.750)
Al (0.000, 0.000, 0.000)

Its space group is Fm-3m. As for the crystal system: cubic. The calculation puts the formation energy from the elements at 21 meV per atom.

=====

Number 1: VASP energy -4.791 eV/atom. Number 2: VASP energy -5.576 eV/atom. Number 3: VASP energy -2.348 eV/atom.